# 1
CoIrRh2 | PBE | optimized geometry

Summary:
The excess energy over the best structure of this formula in the dataset comes out at 241.5 meV/atom. The space group is P4/mmm, No. 123.

a b c (Å): 4.5508 4.5508 2.7131
angles (deg): 90.00 90.00 90.00
With the nearest neighbours (Å) after each atom.
Fractional coordinates of all 4 atoms:
Co1 0.5000 0.0000 0.5000  8 Rh 2.65, 2 Co 2.71
Rh1 0.0000 0.0000 0.0000  4 Co 2.65, 4 Ir 2.65, 2 Rh 2.71
Rh2 0.5000 0.5000 0.0000  4 Co 2.65, 4 Ir 2.65, 2 Rh 2.71
Ir1 0.0000 0.5000 0.5000  8 Rh 2.65, 2 Ir 2.71

---

# 2
CoIrRh2 | PBE | optimized geometry

Summary:
The excess energy over the best structure of this formula in the dataset comes out at 11.5 meV/atom. The space group is Pmm2, No. 25.

a b c (Å): 2.6978 3.7424 5.3702
angles (deg): 90.00 90.00 90.00
With the nearest neighbours (Å) after each atom.
Fractional coordinates of all 4 atoms:
Co1 0.0000 0.0000 0.5025  4 Ir 2.64, 6 Rh 2.65-2.71, 2 Co 2.70
Rh1 0.0000 0.0000 0.9975  2 Co 2.66-2.71, 4 Ir 2.68, 6 Rh 2.70
Ir1 0.5000 0.5000 0.7422  6 Rh 2.60-2.77, 4 Co 2.64, 2 Ir 2.70
Rh2 0.5000 0.5000 0.2578  2 Ir 2.60-2.77, 4 Co 2.65, 6 Rh 2.70

---

# 3
CoIrRh2 | PBE | optimized geometry

Summary:
The excess energy over the best structure of this formula in the dataset comes out at 0.0 meV/atom. The space group is I4/mmm, No. 139.

a b c (Å): 4.6445 4.6445 4.6445
angles (deg): 132.05 132.04 70.16
With the nearest neighbours (Å) after each atom.
Fractional coordinates of all 4 atoms:
Rh1 0.5000 0.5000 0.0000  4 Rh 2.67, 4 Ir 2.68, 4 Co 2.68
Rh2 0.0000 0.0000 0.0000  4 Rh 2.67, 4 Ir 2.68, 4 Co 2.68
Co1 0.7500 0.2500 0.5000  4 Ir 2.67, 8 Rh 2.68
Ir1 0.2500 0.7500 0.5000  4 Co 2.67, 8 Rh 2.68

---

# 4
CoIr8Rh2 | PBE | optimized geometry

Summary:
The space group is C2/m, No. 12.

a b c (Å): 3.8336 6.0773 7.1895
angles (deg): 104.68 105.46 90.00
With the nearest neighbours (Å) after each atom.
Fractional coordinates of all 11 atoms:
Ir1 0.0440 0.7313 0.0881  9 Ir 2.67-2.76, 2 Co 2.69, 1 Rh 2.76
Ir2 0.9560 0.2687 0.9119  9 Ir 2.67-2.76, 2 Co 2.69, 1 Rh 2.76
Co1 0.5000 0.0000 0.0000  12 Ir 2.69-2.72
Ir3 0.8657 0.8221 0.7313  7 Ir 2.67-2.75, 2 Co 2.69, 3 Rh 2.72-2.76
Rh1 0.7716 0.3608 0.5432  10 Ir 2.71-2.76, 2 Rh 2.73
Ir4 0.6799 0.9066 0.3599  1 Co 2.70, 8 Ir 2.70-2.75, 3 Rh 2.71-2.72
Ir5 0.4102 0.5454 0.8203  8 Ir 2.69-2.73, 1 Co 2.72, 3 Rh 2.73-2.74
Ir6 0.1343 0.1779 0.2687  7 Ir 2.67-2.75, 2 Co 2.69, 3 Rh 2.72-2.76
Ir7 0.3201 0.0934 0.6401  1 Co 2.70, 8 Ir 2.70-2.75, 3 Rh 2.71-2.72
Rh2 0.2284 0.6392 0.4568  10 Ir 2.71-2.76, 2 Rh 2.73
Ir8 0.5898 0.4546 0.1797  8 Ir 2.69-2.73, 1 Co 2.72, 3 Rh 2.73-2.74

---

# 5
Co4Ir4Rh | PBE | optimized geometry

Summary:
The space group is P-1, No. 2.

a b c (Å): 4.4107 6.3454 7.4279
angles (deg): 40.97 67.03 63.02
With the nearest neighbours (Å) after each atom.
Fractional coordinates of all 9 atoms:
Rh1 0.5000 0.0000 0.0000  6 Co 2.53-2.59, 4 Ir 2.62-2.67
Co1 0.3961 0.1012 0.3011  3 Co 2.50-2.62, 7 Ir 2.52-2.76, 1 Rh 2.59
Ir1 0.0122 0.7654 0.4133  6 Co 2.53-2.76, 3 Ir 2.58-2.76, 1 Rh 2.67
Ir2 0.9878 0.2346 0.5867  6 Co 2.53-2.76, 3 Ir 2.58-2.76, 1 Rh 2.67
Ir3 0.2391 0.6056 0.7914  7 Co 2.52-2.61, 1 Rh 2.62, 3 Ir 2.63-2.76
Ir4 0.7609 0.3944 0.2086  7 Co 2.52-2.61, 1 Rh 2.62, 3 Ir 2.63-2.76
Co2 0.8593 0.2887 0.9168  3 Co 2.50-2.62, 6 Ir 2.53-2.59, 2 Rh 2.53-2.58
Co3 0.6039 0.8988 0.6989  3 Co 2.50-2.62, 7 Ir 2.52-2.76, 1 Rh 2.59
Co4 0.1407 0.7113 0.0832  3 Co 2.50-2.62, 6 Ir 2.53-2.59, 2 Rh 2.53-2.58

---

# 6
Co2IrRh | PBE | optimized geometry

Summary:
The excess energy over the best structure of this formula in the dataset comes out at 148.0 meV/atom. The space group is P4/mmm, No. 123.

a b c (Å): 4.3346 4.3346 2.7943
angles (deg): 90.00 90.00 90.00
With the nearest neighbours (Å) after each atom.
Fractional coordinates of all 4 atoms:
Co1 0.0000 0.0000 0.0000  4 Ir 2.58, 4 Rh 2.58, 2 Co 2.79
Rh1 0.0000 0.5000 0.5000  8 Co 2.58, 2 Rh 2.79
Ir1 0.5000 0.0000 0.5000  8 Co 2.58, 2 Ir 2.79
Co2 0.5000 0.5000 0.0000  4 Ir 2.58, 4 Rh 2.58, 2 Co 2.79

---

# 7
Co2IrRh | PBE | optimized geometry

Summary:
The excess energy over the best structure of this formula in the dataset comes out at 575.8 meV/atom. The space group is I-42d, No. 122.

a b c (Å): 6.4862 6.4862 5.2987
angles (deg): 52.26 52.26 90.00
With the nearest neighbours (Å) after each atom.
Fractional coordinates of all 8 atoms:
Rh1 0.5000 0.5000 0.0000  4 Co 2.42, 2 Ir 2.65
Co1 0.3750 0.3684 0.7500  2 Ir 2.36, 2 Rh 2.42
Ir1 0.0000 0.0000 0.0000  4 Co 2.36
Co2 0.1184 0.6250 0.2500  2 Ir 2.36, 2 Rh 2.42
Ir2 0.7500 0.2500 0.5000  4 Co 2.36
Co3 0.6316 0.1250 0.2500  2 Ir 2.36, 2 Rh 2.42
Co4 0.8750 0.8816 0.7500  2 Ir 2.36, 2 Rh 2.42
Rh2 0.2500 0.7500 0.5000  4 Co 2.42, 2 Ir 2.65

---

# 8
CoIrRh2 | PBE | optimized geometry

Summary:
The excess energy over the best structure of this formula in the dataset comes out at 7.0 meV/atom. The space group is Pmmm, No. 47.

a b c (Å): 3.7751 2.6939 5.9756
angles (deg): 63.23 90.00 90.00
With the nearest neighbours (Å) after each atom.
Fractional coordinates of all 4 atoms:
Co1 0.5000 0.2500 0.2500  8 Rh 2.66, 2 Ir 2.67, 2 Co 2.69
Rh1 0.0000 0.5056 0.4943  4 Rh 2.61-2.73, 4 Co 2.66, 4 Ir 2.69
Rh2 0.0000 0.9944 0.0057  4 Rh 2.61-2.73, 4 Co 2.66, 4 Ir 2.69
Ir1 0.5000 0.7500 0.7500  2 Co 2.67, 8 Rh 2.69, 2 Ir 2.69

---

# 9
Co3Ir3Rh | PBE | optimized geometry

Summary:
The excess energy over the best structure of this formula in the dataset comes out at 199.9 meV/atom. The space group is P2_13, No. 198.

a b c (Å): 7.2547 7.2547 7.2547
angles (deg): 90.00 90.00 90.00
With the nearest neighbours (Å) after each atom.
Fractional coordinates of all 28 atoms:
Ir1 0.4412 0.3278 0.1342  5 Co 2.48-2.61, 2 Rh 2.69-2.76, 2 Ir 2.76
Ir2 0.6722 0.6342 0.0588  5 Co 2.48-2.61, 2 Rh 2.69-2.76, 2 Ir 2.76
Rh1 0.0266 0.5266 0.9734  1 Co 2.46, 3 Ir 2.69
Ir3 0.1722 0.8658 0.9412  5 Co 2.48-2.61, 2 Rh 2.69-2.76, 2 Ir 2.76
Co1 0.3310 0.1690 0.8310  1 Co 2.22, 1 Rh 2.46
Ir4 0.0588 0.6722 0.6342  5 Co 2.48-2.61, 2 Rh 2.69-2.76, 2 Ir 2.76
Ir5 0.8658 0.9412 0.1722  5 Co 2.48-2.61, 2 Rh 2.69-2.76, 2 Ir 2.76
Co2 0.3545 0.8545 0.6455  6 Ir 2.52, 3 Co 2.65
Co3 0.1455 0.1455 0.1455  6 Ir 2.52, 3 Co 2.65
Co4 0.1548 0.3452 0.6548  1 Co 2.22, 3 Ir 2.48
Co5 0.6690 0.6690 0.6690  1 Co 2.22, 1 Rh 2.46
Ir6 0.1342 0.4412 0.3278  5 Co 2.48-2.61, 2 Rh 2.69-2.76, 2 Ir 2.76
Co6 0.6548 0.1548 0.3452  1 Co 2.22, 3 Ir 2.48
Ir7 0.5588 0.8278 0.3658  5 Co 2.48-2.61, 2 Rh 2.69-2.76, 2 Ir 2.76
Co7 0.3452 0.6548 0.1548  1 Co 2.22, 3 Ir 2.48
Ir8 0.3658 0.5588 0.8278  5 Co 2.48-2.61, 2 Rh 2.69-2.76, 2 Ir 2.76
Ir9 0.9412 0.1722 0.8658  5 Co 2.48-2.61, 2 Rh 2.69-2.76, 2 Ir 2.76
Rh2 0.4734 0.4734 0.4734  1 Co 2.46, 3 Ir 2.69
Co8 0.8452 0.8452 0.8452  1 Co 2.22, 3 Ir 2.48
Ir10 0.8278 0.3658 0.5588  5 Co 2.48-2.61, 2 Rh 2.69-2.76, 2 Ir 2.76
Co9 0.8310 0.3310 0.1690  1 Co 2.22, 1 Rh 2.46
Rh3 0.5266 0.9734 0.0266  1 Co 2.46, 3 Ir 2.69
Ir11 0.3278 0.1342 0.4412  5 Co 2.48-2.61, 2 Rh 2.69-2.76, 2 Ir 2.76
Co10 0.6455 0.3545 0.8545  6 Ir 2.52, 3 Co 2.65
Co11 0.1690 0.8310 0.3310  1 Co 2.22, 1 Rh 2.46
Co12 0.8545 0.6455 0.3545  6 Ir 2.52, 3 Co 2.65
Rh4 0.9734 0.0266 0.5266  1 Co 2.46, 3 Ir 2.69
Ir12 0.6342 0.0588 0.6722  5 Co 2.48-2.61, 2 Rh 2.69-2.76, 2 Ir 2.76

---

# 10
CoIrRh2 | PBE | optimized geometry

Summary:
The excess energy over the best structure of this formula in the dataset comes out at 9.4 meV/atom. The space group is P4mm, No. 99.

a b c (Å): 2.7018 2.7018 7.4016
angles (deg): 90.00 90.00 90.00
With the nearest neighbours (Å) after each atom.
Fractional coordinates of all 4 atoms:
Ir1 0.5000 0.5000 0.7387  4 Co 2.60, 4 Ir 2.70, 4 Rh 2.71
Rh1 0.0000 0.0000 0.9979  8 Rh 2.70-2.74, 4 Ir 2.71
Rh2 0.5000 0.5000 0.2625  4 Co 2.60, 8 Rh 2.70-2.74
Co1 0.0000 0.0000 0.5008  4 Ir 2.60, 4 Rh 2.60, 4 Co 2.70

---

# 11
CoIr3Rh | PBE | optimized geometry

Summary:
The excess energy over the best structure of this formula in the dataset comes out at 0.0 meV/atom. The space group is Pnma, No. 62.

a b c (Å): 4.8923 6.1395 9.9364
angles (deg): 90.00 90.00 90.00
With the nearest neighbours (Å) after each atom.
Fractional coordinates of all 20 atoms:
Ir1 0.4884 0.5735 0.8839  2 Co 2.40-2.55, 3 Ir 2.48-2.68, 1 Rh 2.69
Ir2 0.2216 0.7263 0.2500  2 Co 2.41-2.58, 4 Ir 2.46-2.68
Ir3 0.2784 0.2263 0.7500  2 Co 2.41-2.58, 4 Ir 2.46-2.68
Ir4 0.4884 0.5735 0.6161  2 Co 2.40-2.55, 3 Ir 2.48-2.68, 1 Rh 2.69
Ir5 0.7216 0.7737 0.2500  2 Co 2.41-2.58, 4 Ir 2.46-2.68
Rh1 0.5000 0.0000 0.0000  2 Co 2.57, 6 Ir 2.69-2.86
Ir6 0.0116 0.0735 0.1161  2 Co 2.40-2.55, 3 Ir 2.48-2.68, 1 Rh 2.69
Ir7 0.7784 0.2737 0.7500  2 Co 2.41-2.58, 4 Ir 2.46-2.68
Co1 0.0456 0.6035 0.7500  6 Ir 2.40-2.58, 2 Rh 2.57
Rh2 0.0000 0.5000 0.5000  2 Co 2.57, 6 Ir 2.69-2.86
Co2 0.4544 0.1035 0.2500  6 Ir 2.40-2.58, 2 Rh 2.57
Rh3 0.0000 0.5000 0.0000  2 Co 2.57, 6 Ir 2.69-2.86
Ir8 0.9884 0.9265 0.8839  2 Co 2.40-2.55, 3 Ir 2.48-2.68, 1 Rh 2.69
Co3 0.9544 0.3965 0.2500  6 Ir 2.40-2.58, 2 Rh 2.57
Rh4 0.5000 0.0000 0.5000  2 Co 2.57, 6 Ir 2.69-2.86
Ir9 0.9884 0.9265 0.6161  2 Co 2.40-2.55, 3 Ir 2.48-2.68, 1 Rh 2.69
Ir10 0.5116 0.4265 0.3839  2 Co 2.40-2.55, 3 Ir 2.48-2.68, 1 Rh 2.69
Ir11 0.0116 0.0735 0.3839  2 Co 2.40-2.55, 3 Ir 2.48-2.68, 1 Rh 2.69
Co4 0.5456 0.8965 0.7500  6 Ir 2.40-2.58, 2 Rh 2.57
Ir12 0.5116 0.4265 0.1161  2 Co 2.40-2.55, 3 Ir 2.48-2.68, 1 Rh 2.69

---

# 12
CoIr6Rh8 | PBE | optimized geometry

Summary:
The excess energy over the best structure of this formula in the dataset comes out at 7.0 meV/atom. The space group is P-3, No. 147.

a b c (Å): 2.7084 9.8979 9.8979
angles (deg): 120.00 90.00 90.00
With the nearest neighbours (Å) after each atom.
Fractional coordinates of all 15 atoms:
Rh1 0.2465 0.8001 0.7239  1 Co 2.54, 3 Ir 2.60-2.67, 6 Rh 2.71-2.80
Rh2 0.7535 0.0762 0.8001  1 Co 2.54, 3 Ir 2.60-2.67, 6 Rh 2.71-2.80
Ir1 0.7502 0.3766 0.9117  4 Ir 2.57-2.71, 5 Rh 2.60-2.67
Rh3 0.7550 0.6667 0.3333  6 Ir 2.61-2.63, 2 Rh 2.71
Rh4 0.2465 0.9238 0.1999  1 Co 2.54, 3 Ir 2.60-2.67, 6 Rh 2.71-2.80
Rh5 0.2465 0.2761 0.0762  1 Co 2.54, 3 Ir 2.60-2.67, 6 Rh 2.71-2.80
Ir2 0.2498 0.4649 0.3766  4 Ir 2.57-2.71, 5 Rh 2.60-2.67
Ir3 0.7502 0.5351 0.6234  4 Ir 2.57-2.71, 5 Rh 2.60-2.67
Ir4 0.2498 0.6234 0.0883  4 Ir 2.57-2.71, 5 Rh 2.60-2.67
Ir5 0.7502 0.0883 0.4649  4 Ir 2.57-2.71, 5 Rh 2.60-2.67
Co1 0.5000 0.0000 0.0000  6 Rh 2.54, 2 Co 2.71
Ir6 0.2498 0.9117 0.5351  4 Ir 2.57-2.71, 5 Rh 2.60-2.67
Rh6 0.7535 0.1999 0.2761  1 Co 2.54, 3 Ir 2.60-2.67, 6 Rh 2.71-2.80
Rh7 0.2450 0.3333 0.6667  6 Ir 2.61-2.63, 2 Rh 2.71
Rh8 0.7535 0.7239 0.9238  1 Co 2.54, 3 Ir 2.60-2.67, 6 Rh 2.71-2.80

---

In order of appearance, calculated total energy = -7.404 -7.634 -7.645 -8.425 -7.700 -7.413 -6.985 -7.638 -7.653 -7.636 -7.752 -7.638 eV per atom.
In order of appearance, Fermi-level density of states = 1.919 1.272 1.422 1.084 1.467 1.708 1.512 1.299 1.275 1.610 1.662 1.486 states/eV per atom.
In order of appearance, energy relative to the elements = 0.264 0.034 0.022 0.002 0.213 0.193 0.621 0.029 0.240 0.032 0.456 0.301 eV per atom.